[1]
This record from the Alexandria database describes a geometry-optimized Pm4PbBr5 structure. The functional is PBE.

```
Pm4PbBr5
1.0
-1.775 3.682 0.952
-8.119 -3.706 -0.805
2.410 -3.400 8.389
Pm Pb Br
4 1 5
direct
0.671 0.062 0.342
0.003 0.245 0.006
0.329 0.938 0.658
0.997 0.755 0.994
0.500 0.000 0.000
0.168 0.308 0.335
0.166 0.809 0.331
0.834 0.191 0.669
0.500 0.500 0.000
0.832 0.692 0.665
```

Computed properties:
crystal system = monoclinic
uncorrected energy = -44.5 eV for the cell shown
SG = C2/m, No. 12
ΔE_f (raw) = -1.34 eV per atom

---

[2]
This record from the Alexandria database describes a geometry-optimized Sc2AlAg structure. The functional is PBE.

```
Sc2AlAg
1.0
-3.907 1.466 -0.068
-1.003 -2.808 -2.921
-5.050 -7.256 5.727
Sc Al Ag
4 2 2
direct
0.618 0.125 0.250
0.132 0.625 0.250
0.375 0.382 0.750
0.875 0.868 0.750
0.500 0.500 0.000
0.250 0.750 0.500
0.000 0.000 0.000
0.750 0.250 0.500
```

Computed properties:
formation energy from the elements = 222 meV per atom
crystal system = tetragonal
uncorrected energy = -36.7 eV for the cell shown
SG = I-42d, No. 122

---

[3]
This record from the Alexandria database describes a geometry-optimized Ti4Cu2Ge structure. The functional is PBE.

```
Ti4Cu2Ge
1.0
-2.794 1.607 3.345
-0.523 -4.316 1.637
3.216 -0.548 6.175
Ge Cu Ti
1 2 4
direct
0.000 0.000 0.000
0.395 0.395 0.210
0.605 0.605 0.790
0.200 0.200 0.600
0.800 0.800 0.400
0.000 0.500 0.000
0.500 0.000 0.000
```

Computed properties:
formation energy from the elements = 418 meV per atom
crystal system = tetragonal
uncorrected energy = -41.5 eV for the cell shown
SG = I4/mmm, No. 139

---

Number 1: total magnetization 0.01 Bohr magnetons per cell. Number 2: total magnetization 0.83 Bohr magnetons per cell. Number 3: total magnetization 0.00 Bohr magnetons per cell.